Below is a relaxed Sc3HgN crystal, with properties calculated at the PBE level.

Unit cell a=7.093 b=7.093 c=4.451 alpha=90.00 beta=90.00 gamma=127.11
Sites, in units of the cell vectors:
Sc: 0.000 0.500 0.500
Sc: 0.134 0.866 0.000
Sc: 0.240 0.240 0.500
Sc: 0.500 0.000 0.500
Sc: 0.760 0.760 0.500
Sc: 0.866 0.134 0.000
Hg: 0.374 0.626 0.000
Hg: 0.626 0.374 0.000
N: 0.130 0.870 0.500
N: 0.870 0.130 0.500

- D(E_F): 1.867 states/eV/cell
- Magnetization: 0.00 Bohr magnetons per cell
- SG: Cmmm
- Uncorrected formation energy: -1023 meV per atom